1.
TmTiHgPd: optimized geometry, PBE-GGA.

Cell: 4.8539 4.8539 4.8539 Å, 60.00 60.00 60.00°
Atoms (fractional coordinates):
1 Tm 0.0000 0.0000 0.0000
2 Ti 0.5000 0.5000 0.5000
3 Hg 0.7500 0.7500 0.7500
4 Pd 0.2500 0.2500 0.2500

Computed properties:
M_tot	1.43	Bohr magnetons per cell
E_tot	-4.82	eV/atom

---

2.
U2MoOs: optimized geometry, PBE-GGA.

Cell: 9.2722 9.2722 9.2722 Å, 19.13 19.13 19.13°
Atoms (fractional coordinates):
1 U 0.2500 0.2500 0.2500
2 U 0.7500 0.7500 0.7500
3 Mo 0.0000 0.0000 0.0000
4 Os 0.5000 0.5000 0.5000

Computed properties:
M_tot	0.28	Bohr magnetons per cell
E_tot	-10.70	eV/atom
offset from the most stable computed form	0.2678	eV/atom

---

3.
PS2IBr: optimized geometry, PBE-GGA.

Cell: 4.7353 4.7353 5.6838 Å, 90.00 90.00 90.00°
Atoms (fractional coordinates):
1 P 0.0000 0.0000 0.0000
2 S 0.0000 0.5000 0.5000
3 S 0.5000 0.0000 0.5000
4 I 0.5000 0.5000 0.0000
5 Br 0.0000 0.0000 0.5000

Computed properties:
formation energy (no corrections)	1.236	eV per atom
M_tot	0.00	Bohr magnetons per cell
E_tot	-2.14	eV/atom
offset from the most stable computed form	0.0120	eV/atom

---

4.
Ce4BiSb2Se: optimized geometry, PBE-GGA.

Cell: 7.6992 4.4678 7.7559 Å, 90.00 109.52 90.00°
Atoms (fractional coordinates):
1 Ce 0.2437 0.0000 0.2392
2 Ce 0.2499 0.5000 0.7591
3 Ce 0.7501 0.5000 0.2409
4 Ce 0.7563 0.0000 0.7608
5 Bi 0.0000 0.0000 0.5000
6 Sb 0.5000 0.0000 0.0000
7 Sb 0.5000 0.5000 0.5000
8 Se 0.0000 0.5000 0.0000

Computed properties:
formation energy (no corrections)	-1.150	eV per atom
M_tot	3.91	Bohr magnetons per cell
E_tot	-6.07	eV/atom

---

5.
Zn2FeRe: optimized geometry, PBE-GGA.

Cell: 4.7828 4.7828 4.7828 Å, 134.47 134.47 66.36°
Atoms (fractional coordinates):
1 Zn 0.2500 0.7500 0.5000
2 Zn 0.7500 0.2500 0.5000
3 Fe 0.0000 0.0000 0.0000
4 Re 0.5000 0.5000 0.0000

Computed properties:
M_tot	3.24	Bohr magnetons per cell
E_tot	-5.61	eV/atom
offset from the most stable computed form	0.2107	eV/atom

---

6.
Cu2Si2P: optimized geometry, PBE-GGA.

Cell: 7.0826 7.0826 2.7812 Å, 90.00 90.00 90.00°
Atoms (fractional coordinates):
1 Cu 0.1328 0.3672 0.0000
2 Cu 0.3672 0.8672 0.0000
3 Cu 0.6328 0.1328 0.0000
4 Cu 0.8672 0.6328 0.0000
5 Si 0.1646 0.6646 0.5000
6 Si 0.3354 0.1646 0.5000
7 Si 0.6646 0.8354 0.5000
8 Si 0.8354 0.3354 0.5000
9 P 0.0000 0.0000 0.0000
10 P 0.5000 0.5000 0.0000

Computed properties:
formation energy (no corrections)	0.377	eV per atom
M_tot	0.00	Bohr magnetons per cell
E_tot	-4.51	eV/atom
offset from the most stable computed form	0.0307	eV/atom